# 1
Computed, not measured: a relaxed CrInH crystal at the GGA-PBE level of DFT.

Cell: 3.0266 3.7620 7.4285 Å, 90.00 100.81 90.00°
Last column: nearest neighbours and their distance in Å.
Atoms (fractional coordinates):
H (0.2741, 0.2500, 0.6042)  2 Cr 1.75-1.81
In (0.0818, 0.2500, 0.1605)  2 Cr 2.72-2.79, 4 H 2.91-3.02, 4 In 3.00-3.03
Cr (0.2951, 0.7500, 0.5241)  2 H 1.75-1.81
Cr (0.7049, 0.2500, 0.4759)  2 H 1.75-1.81
In (0.9182, 0.7500, 0.8395)  2 Cr 2.72-2.79, 4 H 2.91-3.02, 4 In 3.00-3.03
H (0.7259, 0.7500, 0.3958)  2 Cr 1.75-1.81

Output
- energy above the most stable polymorph in this dataset (meV per atom) = 84
- SG = P2_1/m
- total energy (eV per atom) = -5.033

=====

# 2
Computed, not measured: a relaxed CrInH3 crystal at the GGA-PBE level of DFT.

Cell: 3.7256 3.7256 3.7256 Å, 90.00 90.00 90.00°
Last column: nearest neighbours and their distance in Å.
Atoms (fractional coordinates):
Cr (0.5000, 0.5000, 0.5000)  12 H 2.63
In (0.0000, 0.0000, 0.0000)  6 H 1.86
H (0.5000, 0.0000, 0.0000)  2 In 1.86
H (0.0000, 0.5000, 0.0000)  2 In 1.86
H (0.0000, 0.0000, 0.5000)  2 In 1.86

Output
- energy above the most stable polymorph in this dataset (meV per atom) = 1024
- SG = Pm-3m
- total energy (eV per atom) = -3.187

=====

# 3
Computed, not measured: a relaxed CrInH3 crystal at the GGA-PBE level of DFT.

Cell: 3.6285 3.6285 3.6285 Å, 90.00 90.00 90.00°
Last column: nearest neighbours and their distance in Å.
Atoms (fractional coordinates):
H (0.5000, 0.0000, 0.0000)  2 Cr 1.81
H (0.0000, 0.0000, 0.5000)  2 Cr 1.81
Cr (0.0000, 0.0000, 0.0000)  6 H 1.81
In (0.5000, 0.5000, 0.5000)  12 H 2.57
H (0.0000, 0.5000, 0.0000)  2 Cr 1.81

Output
- energy above the most stable polymorph in this dataset (meV per atom) = 0
- SG = Pm-3m
- total energy (eV per atom) = -4.210